## PrSmDy6 (PBE)

Data for an optimized crystal structure of PrSmDy6.

a b c (Å): 5.054 5.054 10.099
angles (deg): 90.00 90.00 90.00
Positions (direct):
Pr1 0.000 0.000 0.000
Sm1 0.000 0.000 0.500
Dy1 0.000 0.500 0.252
Dy2 0.000 0.500 0.748
Dy3 0.500 0.000 0.252
Dy4 0.500 0.000 0.748
Dy5 0.500 0.500 0.000
Dy6 0.500 0.500 0.500

Output
E above lowest polymorph ... 0.000 eV/f.u.
Space-group type ... P4/mmm
Calculated formation energy ... 0.021 eV per atom
DOS at the Fermi energy ... 11.617 states/eV/f.u.
VASP energy ... -36.9 eV for the cell shown